# MnCo2CuH, optimized geometry, DFT GGA-PBE
# E above lowest polymorph: 0.00 kcal/mol of atoms
# Fermi-level density of states: 4.041 states/eV/cell
# E_tot: -6.1164 eV/atom
# density: 8.07 g/cm³
# volume: 48.9 Å³ per cell
# symmetry: No. 123
data_MnCo2CuH
_chemical_formula_sum 'Mn1 Co2 Cu1 H1'
_symmetry_space_group_name_H-M 'P 1'
_symmetry_Int_Tables_number 1
_cell_length_a 3.6249
_cell_length_b 3.6249
_cell_length_c 3.7178
_cell_angle_alpha 90.00
_cell_angle_beta 90.00
_cell_angle_gamma 90.00
loop_
_symmetry_equiv_pos_as_xyz
'x,y,z'
loop_
_atom_site_label
_atom_site_type_symbol
_atom_site_fract_x
_atom_site_fract_y
_atom_site_fract_z
Mn1 Mn 0.0000 0.0000 0.0000
Co1 Co 0.0000 0.5000 0.5000
Co2 Co 0.5000 0.0000 0.5000
Cu1 Cu 0.5000 0.5000 0.0000
H1 H 0.0000 0.0000 0.5000

# NaHg2P, optimized geometry, DFT GGA-PBE
# ΔH_f (0 K): 0.211 eV/atom
# Fermi-level density of states: 0.419 states/eV/cell
# E_tot: -1.6223 eV/atom
# density: 5.61 g/cm³
# volume: 538.4 Å³ per cell
# symmetry: No. 122
data_NaHg2P
_chemical_formula_sum 'Na4 Hg8 P4'
_symmetry_space_group_name_H-M 'P 1'
_symmetry_Int_Tables_number 1
_cell_length_a 6.6671
_cell_length_b 6.6671
_cell_length_c 12.1126
_cell_angle_alpha 90.00
_cell_angle_beta 90.00
_cell_angle_gamma 90.00
loop_
_symmetry_equiv_pos_as_xyz
'x,y,z'
loop_
_atom_site_label
_atom_site_type_symbol
_atom_site_fract_x
_atom_site_fract_y
_atom_site_fract_z
Na1 Na 0.0000 0.0000 0.0000
Na2 Na 0.0000 0.5000 0.2500
Na3 Na 0.5000 0.0000 0.7500
Na4 Na 0.5000 0.5000 0.5000
Hg1 Hg 0.1767 0.2500 0.6250
Hg2 Hg 0.2500 0.6767 0.8750
Hg3 Hg 0.2500 0.8233 0.3750
Hg4 Hg 0.3233 0.2500 0.1250
Hg5 Hg 0.6767 0.7500 0.1250
Hg6 Hg 0.7500 0.1767 0.3750
Hg7 Hg 0.7500 0.3233 0.8750
Hg8 Hg 0.8233 0.7500 0.6250
P1 P 0.0000 0.0000 0.5000
P2 P 0.0000 0.5000 0.7500
P3 P 0.5000 0.0000 0.2500
P4 P 0.5000 0.5000 0.0000

# LaZnGa2Os, optimized geometry, DFT GGA-PBE
# ΔH_f (0 K): -0.309 eV/atom
# Fermi-level density of states: 2.292 states/eV/cell
# E_tot: -5.0057 eV/atom
# density: 8.03 g/cm³
# volume: 110.4 Å³ per cell
# symmetry: No. 123
data_LaZnGa2Os
_chemical_formula_sum 'La1 Zn1 Ga2 Os1'
_symmetry_space_group_name_H-M 'P 1'
_symmetry_Int_Tables_number 1
_cell_length_a 4.7695
_cell_length_b 4.7695
_cell_length_c 4.8542
_cell_angle_alpha 90.00
_cell_angle_beta 90.00
_cell_angle_gamma 90.00
loop_
_symmetry_equiv_pos_as_xyz
'x,y,z'
loop_
_atom_site_label
_atom_site_type_symbol
_atom_site_fract_x
_atom_site_fract_y
_atom_site_fract_z
La1 La 0.0000 0.0000 0.0000
Zn1 Zn 0.5000 0.5000 0.0000
Ga1 Ga 0.0000 0.5000 0.5000
Ga2 Ga 0.5000 0.0000 0.5000
Os1 Os 0.5000 0.5000 0.5000